# SrMnS PBE-GGA optimized geometry
data_SrMnS
_cell_length_a 5.0345
_cell_length_b 5.5648
_cell_length_c 6.6941
_cell_angle_alpha 80.79
_cell_angle_beta 68.24
_cell_angle_gamma 64.43
_space_group_name_H-M_alt 'P 1'
_space_group_IT_number 1
loop_
_space_group_symop_operation_xyz
'x,y,z'
loop_
_atom_site_label
_atom_site_type_symbol
_atom_site_fract_x
_atom_site_fract_y
_atom_site_fract_z
Sr1 Sr 0.3371 0.3853 0.2524
Sr2 Sr 0.0668 0.8829 0.7875
S1 S 0.4391 0.8854 0.0454
S2 S 0.6816 0.3853 0.5663
Mn1 Mn 0.9674 0.0306 0.3228
Mn2 Mn 0.6365 0.7409 0.3240
# **M_tot**: 1.114 μB/atom
# **Uncorrected formation energy**: -56.9 kJ per mole of atoms
# **DFT total energy**: -5.582 eV per atom
# **Energy above the most stable polymorph in this dataset**: 279.0 meV per atom

# TlCO3 PBE-GGA optimized geometry
data_TlCO3
_cell_length_a 4.1266
_cell_length_b 4.1266
_cell_length_c 4.1266
_cell_angle_alpha 90.00
_cell_angle_beta 90.00
_cell_angle_gamma 90.00
_space_group_name_H-M_alt 'P 1'
_space_group_IT_number 1
loop_
_space_group_symop_operation_xyz
'x,y,z'
loop_
_atom_site_label
_atom_site_type_symbol
_atom_site_fract_x
_atom_site_fract_y
_atom_site_fract_z
Tl1 Tl 0.0000 0.0000 0.0000
C1 C 0.5000 0.5000 0.5000
O1 O 0.0000 0.5000 0.0000
O2 O 0.0000 0.0000 0.5000
O3 O 0.5000 0.0000 0.0000
# **M_tot**: 0.000 μB/atom
# **Uncorrected formation energy**: 179.8 kJ per mole of atoms
# **DFT total energy**: -3.429 eV per atom

# Al5Ag7 PBE-GGA optimized geometry
data_Al5Ag7
_cell_length_a 7.7192
_cell_length_b 5.7270
_cell_length_c 4.9784
_cell_angle_alpha 90.00
_cell_angle_beta 92.33
_cell_angle_gamma 68.23
_space_group_name_H-M_alt 'P 1'
_space_group_IT_number 1
loop_
_space_group_symop_operation_xyz
'x,y,z'
loop_
_atom_site_label
_atom_site_type_symbol
_atom_site_fract_x
_atom_site_fract_y
_atom_site_fract_z
Ag1 Ag 0.0000 0.9986 0.0000
Ag2 Ag 0.3462 0.0814 0.1426
Ag3 Ag 0.6671 0.1564 0.3573
Ag4 Ag 0.0000 0.2610 0.5000
Ag5 Ag 0.6538 0.4276 0.8574
Ag6 Ag 0.0000 0.5109 0.0000
Ag7 Ag 0.3329 0.8235 0.6427
Al1 Al 0.3287 0.3271 0.6526
Al2 Al 0.3271 0.5878 0.1565
Al3 Al 0.6713 0.6558 0.3474
Al4 Al 0.0000 0.7550 0.5000
Al5 Al 0.6729 0.9149 0.8435
# **M_tot**: 0.000 μB/atom
# **DFT total energy**: -3.252 eV per atom
# **Energy above the most stable polymorph in this dataset**: 18.8 meV per atom
# **Energy of formation**: -2.9 kJ/mol of atoms

# Li5Ir PBE-GGA optimized geometry
data_Li5Ir
_cell_length_a 8.2986
_cell_length_b 8.2986
_cell_length_c 4.5299
_cell_angle_alpha 90.00
_cell_angle_beta 90.00
_cell_angle_gamma 162.43
_space_group_name_H-M_alt 'P 1'
_space_group_IT_number 1
loop_
_space_group_symop_operation_xyz
'x,y,z'
loop_
_atom_site_label
_atom_site_type_symbol
_atom_site_fract_x
_atom_site_fract_y
_atom_site_fract_z
Ir1 Ir 0.0096 0.9904 0.0000
Li1 Li 0.3619 0.6381 0.0000
Li2 Li 0.6591 0.3409 0.0000
Li3 Li 0.4466 0.5534 0.5000
Li4 Li 0.7656 0.2344 0.5000
Li5 Li 0.0905 0.9095 0.5000
# **M_tot**: 0.000 μB/atom
# **DFT total energy**: -3.131 eV per atom
# **Energy above the most stable polymorph in this dataset**: 0.0 meV per atom
# **Energy of formation**: -5.7 kJ/mol of atoms

# Ac5Ga2Si2 PBE-GGA optimized geometry
data_Ac5Ga2Si2
_cell_length_a 9.3595
_cell_length_b 7.0698
_cell_length_c 10.5987
_cell_angle_alpha 109.48
_cell_angle_beta 116.20
_cell_angle_gamma 90.00
_space_group_name_H-M_alt 'P 1'
_space_group_IT_number 1
loop_
_space_group_symop_operation_xyz
'x,y,z'
loop_
_atom_site_label
_atom_site_type_symbol
_atom_site_fract_x
_atom_site_fract_y
_atom_site_fract_z
Ac1 Ac 0.2361 0.6583 0.8685
Ac2 Ac 0.7639 0.7898 0.1315
Ac3 Ac 0.1325 0.1583 0.8686
Ac4 Ac 0.8675 0.2898 0.1315
Ac5 Ac 0.3114 0.0874 0.2958
Ac6 Ac 0.6886 0.7915 0.7042
Ac7 Ac 0.4845 0.5874 0.2958
Ac8 Ac 0.5155 0.2915 0.7042
Ac9 Ac 0.2086 0.7496 0.5000
Ac10 Ac 0.7914 0.2496 0.5000
Ga1 Ga 0.0000 0.8780 0.0000
Ga2 Ga 0.5000 0.3780 0.0000
Ga3 Ga 0.1245 0.2695 0.5000
Ga4 Ga 0.8755 0.7695 0.5000
Si1 Si 0.1158 0.6211 0.1302
Si2 Si 0.8842 0.4908 0.8698
Si3 Si 0.5144 0.1211 0.1302
Si4 Si 0.4856 0.9908 0.8698
# **M_tot**: 0.000 μB/atom
# **Uncorrected formation energy**: -37.1 kJ per mole of atoms
# **DFT total energy**: -4.545 eV per atom

# Ba2Os PBE-GGA optimized geometry
data_Ba2Os
_cell_length_a 8.0941
_cell_length_b 8.0941
_cell_length_c 7.7644
_cell_angle_alpha 90.00
_cell_angle_beta 90.00
_cell_angle_gamma 120.00
_space_group_name_H-M_alt 'P 1'
_space_group_IT_number 1
loop_
_space_group_symop_operation_xyz
'x,y,z'
loop_
_atom_site_label
_atom_site_type_symbol
_atom_site_fract_x
_atom_site_fract_y
_atom_site_fract_z
Os1 Os 0.3333 0.6667 0.1009
Os2 Os 0.6667 0.3333 0.6009
Os3 Os 0.6667 0.3333 0.8991
Os4 Os 0.3333 0.6667 0.3991
Ba1 Ba 0.0000 0.0000 0.0000
Ba2 Ba 0.0000 0.0000 0.5000
Ba3 Ba 0.8072 0.6145 0.2500
Ba4 Ba 0.1928 0.3855 0.7500
Ba5 Ba 0.3855 0.1928 0.2500
Ba6 Ba 0.8072 0.1928 0.2500
Ba7 Ba 0.1928 0.8072 0.7500
Ba8 Ba 0.6145 0.8072 0.7500
# **M_tot**: 0.464 μB/atom
# **DFT total energy**: -3.672 eV per atom
# **Energy above the most stable polymorph in this dataset**: 1132.7 meV per atom
# **Energy of formation**: 130.6 kJ/mol of atoms

Among the records above, which one has the highest DFT total energy? Li5Ir